Entry from the Alexandria database: a relaxed structure of LiCaRu2 (PBE-GGA).

Summary:
- Calculated formation energy: 1.56 eV/f.u.
- Space-group type: No. 139
- Crystal system: tetragonal
- E above lowest polymorph: 150 meV/atom
- DOS(E_F): 4.38 states/eV/cell

Cell: 5.357 5.357 5.357 Å, 138.63 138.63 59.93°
Last column: magnetic moment on the atom in μB.
Fractional coordinates of all 4 atoms:
1 Ca 0.250 0.750 0.500  -0.01
2 Ru 0.500 0.500 0.000  0.42
3 Ru 0.000 0.000 0.000  0.42
4 Li 0.750 0.250 0.500  -0.01



Entry from the Alexandria database: a relaxed structure of Y2ScP (PBE-GGA).

Summary:
- Calculated formation energy: -2.40 eV/f.u.
- Space-group type: No. 44
- Crystal system: orthorhombic
- DOS(E_F): 2.97 states/eV/cell

Cell: 6.284 6.284 6.284 Å, 146.90 133.37 58.37°
Fractional coordinates of all 4 atoms:
1 Y 0.801 0.801 0.000
2 Y 0.498 0.998 0.500
3 P 0.009 0.509 0.500
4 Sc 0.192 0.192 0.000



Entry from the Alexandria database: a relaxed structure of BeAl2As (PBE-GGA).

Summary:
- Calculated formation energy: 1.01 eV/f.u.
- Space-group type: No. 166
- Crystal system: trigonal
- E above lowest polymorph: 176 meV/atom
- DOS(E_F): 1.44 states/eV/cell

Cell: 8.618 8.618 8.618 Å, 19.46 19.46 19.46°
Fractional coordinates of all 4 atoms:
1 As 0.250 0.250 0.250
2 Be 0.750 0.750 0.750
3 Al 0.490 0.490 0.490
4 Al 0.010 0.010 0.010



Entry from the Alexandria database: a relaxed structure of Zn2Ni3Sb (PBE-GGA).

Summary:
- Space-group type: No. 164
- Crystal system: trigonal
- Formation energy without anion corrections: -0.175 eV per atom
- DOS(E_F): 2.34 states/eV/cell

Cell: 4.244 4.244 5.181 Å, 90.00 90.00 120.00°
Fractional coordinates of all 6 atoms:
1 Ni 0.333 0.667 0.157
2 Ni 0.667 0.333 0.843
3 Ni 0.000 0.000 0.500
4 Zn 0.333 0.667 0.638
5 Zn 0.667 0.333 0.362
6 Sb 0.000 0.000 0.000



Entry from the Alexandria database: a relaxed structure of Ag3MoOs (PBE-GGA).

Summary:
- Calculated formation energy: 12.81 eV/f.u.
- Space-group type: No. 221
- Crystal system: cubic
- E above lowest polymorph: 475 meV/atom
- DOS(E_F): 6.38 states/eV/cell

Cell: 4.953 4.953 4.953 Å, 90.00 90.00 90.00°
Last column: magnetic moment on the atom in μB.
Fractional coordinates of all 5 atoms:
1 Os 0.500 0.500 0.500  2.61
2 Ag 0.500 0.000 0.000  -0.01
3 Ag 0.000 0.500 0.000  0.02
4 Ag 0.000 0.000 0.500  0.04
5 Mo 0.000 0.000 0.000  0.05



Entry from the Alexandria database: a relaxed structure of Sr2FeB2 (PBE-GGA).

Summary:
- Calculated formation energy: 4.49 eV/f.u.
- Space-group type: No. 127
- Crystal system: tetragonal
- E above lowest polymorph: 385 meV/atom
- DOS(E_F): 7.14 states/eV/cell

Cell: 6.051 6.051 4.829 Å, 90.00 90.00 90.00°
Fractional coordinates of all 10 atoms:
1 Sr 0.666 0.834 0.500
2 Sr 0.334 0.166 0.500
3 Sr 0.166 0.666 0.500
4 Sr 0.834 0.334 0.500
5 Fe 0.500 0.500 0.000
6 Fe 0.000 0.000 0.000
7 B 0.300 0.800 0.000
8 B 0.800 0.700 0.000
9 B 0.700 0.200 0.000
10 B 0.200 0.300 0.000



Entry from the Alexandria database: a relaxed structure of Ac2La2N2O (PBE-GGA).

Summary:
- Space-group type: No. 12
- Crystal system: monoclinic
- Formation energy without anion corrections: -1.384 eV per atom
- DOS(E_F): 4.10 states/eV/cell

Cell: 3.717 9.565 7.627 Å, 39.04 75.90 78.80°
Last column: magnetic moment on the atom in μB.
Fractional coordinates of all 7 atoms:
1 N 0.800 0.691 0.708  0.00
2 N 0.200 0.309 0.292  0.00
3 Ac 0.572 0.235 0.622  0.09
4 Ac 0.428 0.765 0.378  0.09
5 O 0.000 0.000 0.000  0.01
6 La 0.811 0.275 0.103  0.11
7 La 0.189 0.725 0.897  0.11



Entry from the Alexandria database: a relaxed structure of SrIrNO2 (PBE-GGA).

Summary:
- Space-group type: No. 123
- Crystal system: tetragonal
- Formation energy without anion corrections: 1.645 eV per atom
- DOS(E_F): 9.46 states/eV/cell

Cell: 4.382 4.382 4.652 Å, 90.00 90.00 90.00°
Last column: magnetic moment on the atom in μB.
Fractional coordinates of all 5 atoms:
1 N 0.000 0.000 0.500  -0.20
2 Sr 0.000 0.000 0.000  -0.11
3 O 0.000 0.500 0.000  -0.01
4 O 0.500 0.000 0.000  -0.01
5 Ir 0.500 0.500 0.500  2.10



Entry from the Alexandria database: a relaxed structure of Ac2P2Ru2N (PBE-GGA).

Summary:
- Space-group type: No. 12
- Crystal system: monoclinic
- Formation energy without anion corrections: -0.916 eV per atom
- DOS(E_F): 3.57 states/eV/cell

Cell: 4.006 6.182 6.407 Å, 68.86 71.78 71.09°
Fractional coordinates of all 7 atoms:
1 P 0.190 0.359 0.262
2 P 0.810 0.641 0.738
3 Ac 0.442 0.816 0.300
4 Ac 0.558 0.184 0.700
5 Ru 0.801 0.316 0.082
6 Ru 0.199 0.684 0.918
7 N 0.000 0.000 0.000



Entry from the Alexandria database: a relaxed structure of Tb6DyY2Tm (PBE-GGA).

Summary:
- Calculated formation energy: 1.23 eV/f.u.
- Space-group type: No. 15
- Crystal system: monoclinic
- DOS(E_F): 27.88 states/eV/cell

Cell: 9.507 8.787 8.787 Å, 117.68 93.62 93.62°
Fractional coordinates of all 20 atoms:
1 Tb 0.186 0.568 0.016
2 Tb 0.056 0.123 0.754
3 Tb 0.881 0.291 0.509
4 Tb 0.619 0.491 0.709
5 Tb 0.686 0.016 0.568
6 Tb 0.556 0.754 0.123
7 Tb 0.444 0.246 0.877
8 Tb 0.314 0.984 0.432
9 Tb 0.944 0.877 0.246
10 Tb 0.814 0.432 0.984
11 Tb 0.119 0.709 0.491
12 Tb 0.381 0.509 0.291
13 Dy 0.250 0.975 0.025
14 Dy 0.750 0.025 0.975
15 Y 0.455 0.800 0.698
16 Y 0.955 0.698 0.800
17 Y 0.045 0.302 0.200
18 Y 0.545 0.200 0.302
19 Tm 0.750 0.590 0.410
20 Tm 0.250 0.410 0.590



Entry from the Alexandria database: a relaxed structure of Sm5TmTl2 (PBE-GGA).

Summary:
- Calculated formation energy: -0.52 eV/f.u.
- Space-group type: No. 194
- Crystal system: hexagonal
- E above lowest polymorph: 30 meV/atom
- DOS(E_F): 27.51 states/eV/cell

Cell: 5.492 5.492 20.310 Å, 90.00 90.00 120.00°
Fractional coordinates of all 16 atoms:
1 Tl 0.667 0.333 0.902
2 Tl 0.333 0.667 0.402
3 Tl 0.333 0.667 0.098
4 Tl 0.667 0.333 0.598
5 Tm 0.333 0.667 0.250
6 Tm 0.667 0.333 0.750
7 Sm 0.000 0.000 0.163
8 Sm 0.333 0.667 0.560
9 Sm 0.000 0.000 0.663
10 Sm 0.667 0.333 0.060
11 Sm 0.000 0.000 0.337
12 Sm 0.000 0.000 0.837
13 Sm 0.667 0.333 0.250
14 Sm 0.333 0.667 0.750
15 Sm 0.333 0.667 0.940
16 Sm 0.667 0.333 0.440



Entry from the Alexandria database: a relaxed structure of TePIrPt (PBE-GGA).

Summary:
- Space-group type: No. 8
- Crystal system: monoclinic
- Formation energy without anion corrections: -0.230 eV per atom
- E above lowest polymorph: 72 meV/atom
- DOS(E_F): 2.61 states/eV/cell

Cell: 7.137 3.753 6.543 Å, 90.00 89.60 90.00°
Fractional coordinates of all 8 atoms:
1 Ir 0.304 0.500 0.023
2 Ir 0.304 0.000 0.523
3 P 0.398 0.500 0.355
4 P 0.398 0.000 0.855
5 Te 0.848 0.000 0.192
6 Te 0.848 0.500 0.692
7 Pt 0.053 0.500 0.358
8 Pt 0.053 0.000 0.858



Entry from the Alexandria database: a relaxed structure of Hg7Br6 (PBE-GGA).

Summary:
- Space-group type: No. 166
- Crystal system: trigonal
- Formation energy without anion corrections: -0.015 eV per atom
- DOS(E_F): 5.65 states/eV/cell

Cell: 12.033 12.033 12.033 Å, 30.20 30.20 30.20°
Fractional coordinates of all 13 atoms:
1 Br 0.173 0.173 0.173
2 Br 0.827 0.827 0.827
3 Br 0.647 0.647 0.647
4 Br 0.931 0.931 0.931
5 Br 0.353 0.353 0.353
6 Br 0.069 0.069 0.069
7 Hg 0.927 0.407 0.407
8 Hg 0.593 0.593 0.073
9 Hg 0.500 0.500 0.500
10 Hg 0.073 0.593 0.593
11 Hg 0.407 0.407 0.927
12 Hg 0.407 0.927 0.407
13 Hg 0.593 0.073 0.593



Entry from the Alexandria database: a relaxed structure of HfH2F (PBE-GGA).

Summary:
- Total DFT energy (no corrections): -5.419 eV/atom
- Space-group type: No. 225
- Crystal system: cubic
- DOS(E_F): 2.24 states/eV/cell

Cell: 3.591 3.591 3.591 Å, 60.00 60.00 60.00°
Fractional coordinates of all 4 atoms:
1 H 0.250 0.250 0.250
2 H 0.750 0.750 0.750
3 Hf 0.500 0.500 0.500
4 F 0.000 0.000 0.000



Entry from the Alexandria database: a relaxed structure of Y3GaSe6 (PBE-GGA).

Summary:
- Space-group type: No. 36
- Crystal system: orthorhombic
- Formation energy without anion corrections: -1.552 eV per atom

Cell: 6.779 8.962 8.962 Å, 102.45 90.00 90.00°
Fractional coordinates of all 20 atoms:
1 Se 0.664 0.218 0.782
2 Se 0.704 0.564 0.100
3 Se 0.204 0.436 0.900
4 Se 0.184 0.371 0.303
5 Se 0.684 0.629 0.697
6 Se 0.704 0.900 0.436
7 Se 0.204 0.100 0.564
8 Se 0.669 0.960 0.040
9 Se 0.169 0.040 0.960
10 Se 0.184 0.697 0.629
11 Se 0.684 0.303 0.371
12 Se 0.164 0.782 0.218
13 Y 0.386 0.404 0.596
14 Y 0.485 0.282 0.086
15 Y 0.985 0.086 0.282
16 Y 0.485 0.914 0.718
17 Y 0.985 0.718 0.914
18 Y 0.886 0.596 0.404
19 Ga 0.021 0.202 0.798
20 Ga 0.521 0.798 0.202



Entry from the Alexandria database: a relaxed structure of MgScFe (PBE-GGA).

Summary:
- Calculated formation energy: -0.01 eV/f.u.
- Space-group type: No. 12
- Crystal system: monoclinic
- DOS(E_F): 5.30 states/eV/cell

Cell: 3.317 5.211 7.001 Å, 102.34 103.70 90.00°
Last column: magnetic moment on the atom in μB.
Fractional coordinates of all 6 atoms:
1 Sc 0.147 0.336 0.294  -0.17
2 Sc 0.853 0.664 0.706  -0.17
3 Mg 0.429 0.203 0.858  -0.01
4 Mg 0.571 0.797 0.142  -0.01
5 Fe 0.234 0.856 0.468  1.57
6 Fe 0.766 0.144 0.532  1.57



Entry from the Alexandria database: a relaxed structure of Ce3ZrPb5 (PBE-GGA).

Summary:
- Calculated formation energy: -3.62 eV/f.u.
- Space-group type: No. 193
- Crystal system: hexagonal
- DOS(E_F): 33.81 states/eV/cell

Cell: 6.450 9.567 9.567 Å, 120.00 90.00 90.00°
Last column: magnetic moment on the atom in μB.
Fractional coordinates of all 18 atoms:
1 Pb 0.750 0.272 0.272  0.01
2 Pb 0.500 0.333 0.667  0.00
3 Pb 0.250 0.728 0.728  0.01
4 Pb 0.750 0.728 0.000  0.01
5 Pb 0.250 0.272 0.000  0.01
6 Pb 0.000 0.667 0.333  0.00
7 Pb 0.000 0.333 0.667  0.00
8 Pb 0.250 0.000 0.272  0.01
9 Pb 0.500 0.667 0.333  0.00
10 Pb 0.750 0.000 0.728  0.01
11 Ce 0.250 0.000 0.616  0.52
12 Ce 0.750 0.384 0.000  0.52
13 Ce 0.250 0.384 0.384  0.52
14 Ce 0.250 0.616 0.000  0.52
15 Ce 0.750 0.616 0.616  0.52
16 Ce 0.750 0.000 0.384  0.52
17 Zr 0.000 0.000 0.000  -0.08
18 Zr 0.500 0.000 0.000  -0.08



Entry from the Alexandria database: a relaxed structure of Ac2Cu3Si4Pd (PBE-GGA).

Summary:
- Space-group type: No. 115
- Crystal system: tetragonal
- Formation energy without anion corrections: -0.541 eV per atom
- DOS(E_F): 6.39 states/eV/cell

Cell: 4.299 4.299 10.105 Å, 90.00 90.00 90.00°
Fractional coordinates of all 10 atoms:
1 Pd 0.500 0.500 0.500
2 Cu 0.500 0.000 0.879
3 Cu 0.000 0.500 0.121
4 Cu 0.000 0.000 0.500
5 Si 0.000 0.000 0.000
6 Si 0.500 0.500 0.000
7 Si 0.000 0.500 0.373
8 Si 0.500 0.000 0.627
9 Ac 0.000 0.500 0.753
10 Ac 0.500 0.000 0.247



Entry from the Alexandria database: a relaxed structure of Pr6Te3Pt2S (PBE-GGA).

Summary:
- Space-group type: No. 12
- Crystal system: monoclinic
- Formation energy without anion corrections: -1.408 eV per atom
- DOS(E_F): 7.11 states/eV/cell

Cell: 7.464 7.464 7.881 Å, 99.03 99.03 120.10°
Fractional coordinates of all 12 atoms:
1 Pr 0.735 0.735 0.219
2 Pr 0.412 0.074 0.217
3 Pr 0.074 0.412 0.217
4 Pr 0.926 0.588 0.783
5 Pr 0.588 0.926 0.783
6 Pr 0.265 0.265 0.781
7 Te 0.836 0.164 0.500
8 Te 0.164 0.836 0.500
9 Te 0.500 0.500 0.500
10 Pt 0.667 0.333 0.000
11 Pt 0.333 0.667 0.000
12 S 0.000 0.000 0.000



Entry from the Alexandria database: a relaxed structure of BaCrAg2Mo (PBE-GGA).

Summary:
- Calculated formation energy: 3.58 eV/f.u.
- Space-group type: No. 123
- Crystal system: tetragonal
- DOS(E_F): 3.71 states/eV/cell

Cell: 5.409 4.601 5.409 Å, 90.00 90.00 90.00°
Last column: magnetic moment on the atom in μB.
Fractional coordinates of all 5 atoms:
1 Mo 0.000 0.000 0.000  -1.77
2 Ba 0.500 0.500 0.500  0.03
3 Cr 0.000 0.500 0.000  2.85
4 Ag 0.500 0.000 0.000  -0.05
5 Ag 0.000 0.000 0.500  -0.07